Record 1
Density functional theory data (PBE-GGA) for an optimized crystal structure of InAgRu2.

The value obtained for the density of states at the Fermi level is 0.792 states/eV per atom. The calculated formation energy comes out at 252 meV per atom.

Cell and atoms, written as POSCAR:
```
InAgRu2
1.0
2.889 0.000 0.000
0.000 3.703 0.000
0.000 0.000 6.248
Ru Ag In
2 1 1
Direct
0.500 0.500 0.217
0.000 0.000 0.034
0.000 0.000 0.489
0.500 0.500 0.761
```



Record 2
Density functional theory data (PBE-GGA) for an optimized crystal structure of InAgRu2.

The value obtained for the density of states at the Fermi level is 0.702 states/eV per atom. The calculated formation energy comes out at 324 meV per atom.

Cell and atoms, written as POSCAR:
```
InAgRu2
1.0
-5.214 -3.117 -7.212
-2.657 -2.971 -8.546
-3.360 -5.322 -7.022
Ru In Ag
2 1 1
Direct
0.257 0.257 0.257
0.994 0.994 0.994
0.745 0.745 0.745
0.504 0.504 0.504
```



Question: What is the formula in the first record?
Answer: InAgRu2



Question: Which of these has the highest calculated formation energy?
Answer: number 2



Question: Which value of calculated formation energy does entry 2 give?
Answer: 324 meV per atom



What did the first record say?
Density functional theory data (PBE-GGA) for an optimized crystal structure of InAgRu2.

The value obtained for the density of states at the Fermi level is 0.792 states/eV per atom. The calculated formation energy comes out at 252 meV per atom.

Cell and atoms, written as POSCAR:
```
InAgRu2
1.0
2.889 0.000 0.000
0.000 3.703 0.000
0.000 0.000 6.248
Ru Ag In
2 1 1
Direct
0.500 0.500 0.217
0.000 0.000 0.034
0.000 0.000 0.489
0.500 0.500 0.761
```